Entry 1:
TlCuPS2 | GGA-PBE | relaxed

Results
**Space-group type**: P4/mmm (123)
**ΔE to the lowest computed polymorph**: 10.636 kcal/mol of atoms

```
TlCuPS2
1.0
4.9032 0.0000 0.0000
0.0000 4.9032 0.0000
0.0000 0.0000 4.3605
Tl Cu P S
1 1 1 2
Direct
0.0000 0.0000 0.0000
0.5000 0.5000 0.5000
0.5000 0.5000 0.0000
0.0000 0.5000 0.5000
0.5000 0.0000 0.5000
```

Entry 2:
MgCoNiRu | GGA-PBE | relaxed

Results
**Space-group type**: F-43m (216)
**E_form**: 0.1161 eV/atom

```
MgCoNiRu
1.0
5.9648 0.0000 0.0000
0.0000 5.9648 0.0000
0.0000 0.0000 5.9648
Mg Co Ni Ru
4 4 4 4
Direct
0.0000 0.0000 0.0000
0.0000 0.5000 0.5000
0.5000 0.0000 0.5000
0.5000 0.5000 0.0000
0.2500 0.2500 0.2500
0.2500 0.7500 0.7500
0.7500 0.2500 0.7500
0.7500 0.7500 0.2500
0.2500 0.2500 0.7500
0.2500 0.7500 0.2500
0.7500 0.2500 0.2500
0.7500 0.7500 0.7500
0.0000 0.0000 0.5000
0.0000 0.5000 0.0000
0.5000 0.0000 0.0000
0.5000 0.5000 0.5000
```

Entry 3:
BaBiBSe4 | GGA-PBE | relaxed

Results
**Space-group type**: P2_1/m (11)
**Final energy**: -4.53 eV per atom

```
BaBiBSe4
1.0
6.7613 0.0000 0.0000
0.0000 6.7781 0.0000
-2.6768 0.0000 8.2842
Ba Bi B Se
2 2 2 8
Direct
0.2177 0.2500 0.4308
0.7823 0.7500 0.5692
0.2564 0.2500 0.9574
0.7436 0.7500 0.0426
0.2882 0.7500 0.1886
0.7118 0.2500 0.8114
0.1001 0.7500 0.3423
0.1084 0.7500 0.9453
0.4838 0.5085 0.2336
0.4838 0.9915 0.2336
0.5162 0.0085 0.7664
0.5162 0.4915 0.7664
0.8916 0.2500 0.0547
0.8999 0.2500 0.6577
```

Entry 4:
CaNd3Sm6Y2 | GGA-PBE | relaxed

Results
**Space-group type**: C2/m (12)
**E_form**: 0.0410 eV/atom

```
CaNd3Sm6Y2
1.0
3.1676 -5.4891 0.0000
3.1676 5.4891 0.0000
-2.1019 0.0000 11.8652
Ca Nd Sm Y
1 3 6 2
Direct
0.0000 0.0000 0.0000
0.1661 0.8339 0.5000
0.5000 0.5000 0.5000
0.8339 0.1661 0.5000
0.0841 0.4239 0.2498
0.2555 0.2555 0.7498
0.4239 0.0841 0.2498
0.5761 0.9159 0.7502
0.7445 0.7445 0.2502
0.9159 0.5761 0.7502
0.3333 0.6667 0.0000
0.6667 0.3333 0.0000
```

Entry 5:
Pr2SbN | GGA-PBE | relaxed

Results
**Space-group type**: Pnma (62)
**ΔE to the lowest computed polymorph**: 0.649 kcal/mol of atoms

```
Pr2SbN
1.0
7.5368 0.0000 0.0000
0.0000 4.2566 0.0000
0.0000 0.0000 13.5805
Pr Sb N
8 4 4
Direct
0.0993 0.2500 0.2310
0.1842 0.2500 0.9651
0.3158 0.7500 0.4651
0.4007 0.7500 0.7310
0.5993 0.2500 0.2690
0.6842 0.2500 0.5349
0.8158 0.7500 0.0349
0.9007 0.7500 0.7690
0.1129 0.2500 0.6383
0.3871 0.7500 0.1383
0.6129 0.2500 0.8617
0.8871 0.7500 0.3617
0.0528 0.7500 0.9125
0.4472 0.2500 0.4125
0.5528 0.7500 0.5875
0.9472 0.2500 0.0875
```

Entry 6:
HfPaPdAu | GGA-PBE | relaxed

Results
**Space-group type**: F-43m (216)
**E_form**: -0.3176 eV/atom

```
HfPaPdAu
1.0
6.9466 0.0000 0.0000
0.0000 6.9466 0.0000
0.0000 0.0000 6.9466
Hf Pa Pd Au
4 4 4 4
Direct
0.0000 0.0000 0.0000
0.0000 0.5000 0.5000
0.5000 0.0000 0.5000
0.5000 0.5000 0.0000
0.0000 0.0000 0.5000
0.0000 0.5000 0.0000
0.5000 0.0000 0.0000
0.5000 0.5000 0.5000
0.2500 0.2500 0.7500
0.2500 0.7500 0.2500
0.7500 0.2500 0.2500
0.7500 0.7500 0.7500
0.2500 0.2500 0.2500
0.2500 0.7500 0.7500
0.7500 0.2500 0.7500
0.7500 0.7500 0.2500
```